(1)
Compound: Mg2TaCu
Source: Alexandria
Functional: PBE
Structure: optimized geometry

Geometry as CIF:
```
data_Mg2TaCu
_chemical_formula_sum 'Mg2 Ta1 Cu1'
_cell_length_a 4.0086
_cell_length_b 4.0086
_cell_length_c 4.2884
_cell_angle_alpha 90.00
_cell_angle_beta 90.00
_cell_angle_gamma 90.00
_space_group_name_H-M_alt 'P 4/m m m'
_space_group_IT_number 123
_space_group_name_Hall '-P 4 2'
loop_
_atom_site_label
_atom_site_fract_x
_atom_site_fract_y
_atom_site_fract_z
Mg1 0.0000 0.5000 0.0000
Ta1 0.0000 0.0000 0.5000
Cu1 0.5000 0.5000 0.5000
```

Total magnetization, μB/f.u.: 0.00
E above lowest polymorph, meV per atom: 246
ΔH_f (0 K), eV/atom: 0.338

---

(2)
Compound: KInPb
Source: Alexandria
Functional: PBE
Structure: optimized geometry

Geometry as CIF:
```
data_KInPb
_chemical_formula_sum 'K4 In4 Pb4'
_cell_length_a 5.3518
_cell_length_b 8.7271
_cell_length_c 8.8792
_cell_angle_alpha 90.00
_cell_angle_beta 90.00
_cell_angle_gamma 90.00
_space_group_name_H-M_alt 'I m a 2'
_space_group_IT_number 46
loop_
_space_group_symop_operation_xyz
'x,y,z'
'-x,-y,z'
'-x+1/2,y,z'
'x+1/2,-y,z'
'x+1/2,y+1/2,z+1/2'
'-x+1/2,-y+1/2,z+1/2'
'-x,y+1/2,z+1/2'
'x,-y+1/2,z+1/2'
loop_
_atom_site_label
_atom_site_fract_x
_atom_site_fract_y
_atom_site_fract_z
K1 0.2500 0.1820 0.0000
In1 0.2500 0.5791 0.8319
Pb1 0.2500 0.6013 0.1796
```

Total magnetization, μB/f.u.: 0.00
ΔH_f (0 K), eV/atom: -0.163

---

(3)
Compound: SiC3
Source: Alexandria
Functional: PBE
Structure: optimized geometry

Geometry as CIF:
```
data_SiC3
_chemical_formula_sum 'Si2 C6'
_cell_length_a 3.3416
_cell_length_b 6.8114
_cell_length_c 3.4688
_cell_angle_alpha 90.00
_cell_angle_beta 90.00
_cell_angle_gamma 90.00
_space_group_name_H-M_alt 'C m m m'
_space_group_IT_number 65
_space_group_name_Hall '-C 2 2'
loop_
_atom_site_label
_atom_site_fract_x
_atom_site_fract_y
_atom_site_fract_z
Si1 0.0000 0.0000 0.0000
C1 0.0000 0.5000 0.0000
C2 0.2500 0.2500 0.5000
```

Raw formation energy, meV/atom: 2755
Total magnetization, μB/f.u.: 0.00
E above lowest polymorph, meV per atom: 2257

---

(4)
Compound: SrCuIr2
Source: Alexandria
Functional: PBE
Structure: optimized geometry

Geometry as CIF:
```
data_SrCuIr2
_chemical_formula_sum 'Sr2 Cu2 Ir4'
_cell_length_a 8.8885
_cell_length_b 2.9941
_cell_length_c 5.9766
_cell_angle_alpha 90.00
_cell_angle_beta 100.45
_cell_angle_gamma 90.00
_space_group_name_H-M_alt 'C 1 m 1'
_space_group_IT_number 8
loop_
_space_group_symop_operation_xyz
'x,y,z'
'x,-y,z'
'x+1/2,y+1/2,z'
'x+1/2,-y+1/2,z'
loop_
_atom_site_label
_atom_site_fract_x
_atom_site_fract_y
_atom_site_fract_z
Sr1 0.0000 0.0000 0.0000
Cu1 0.2262 0.0000 0.6862
Ir1 0.2572 0.5000 0.3591
Ir2 0.4959 0.0000 0.4783
```

Total magnetization, μB/f.u.: 0.00
E above lowest polymorph, meV per atom: 19
ΔH_f (0 K), eV/atom: 0.209

---

(5)
Compound: BaGe3B
Source: Alexandria
Functional: PBE
Structure: optimized geometry

Geometry as CIF:
```
data_BaGe3B
_chemical_formula_sum 'Ba1 Ge3 B1'
_cell_length_a 5.8139
_cell_length_b 5.8139
_cell_length_c 5.8139
_cell_angle_alpha 90.00
_cell_angle_beta 90.00
_cell_angle_gamma 90.00
_space_group_name_H-M_alt 'P m -3 m'
_space_group_IT_number 221
_space_group_name_Hall '-P 4 2 3'
loop_
_atom_site_label
_atom_site_fract_x
_atom_site_fract_y
_atom_site_fract_z
Ba1 0.0000 0.0000 0.0000
Ge1 0.0000 0.0000 0.5000
B1 0.5000 0.5000 0.5000
```

Total magnetization, μB/f.u.: 0.00
E above lowest polymorph, meV per atom: 1836
ΔH_f (0 K), eV/atom: 2.192

---

(6)
Compound: LaPr7Nd4
Source: Alexandria
Functional: PBE
Structure: optimized geometry

Geometry as CIF:
```
data_LaPr7Nd4
_chemical_formula_sum 'La1 Pr7 Nd4'
_cell_length_a 6.4766
_cell_length_b 7.4563
_cell_length_c 9.2541
_cell_angle_alpha 89.97
_cell_angle_beta 76.54
_cell_angle_gamma 89.99
_space_group_name_H-M_alt 'P -1'
_space_group_IT_number 2
loop_
_space_group_symop_operation_xyz
'x,y,z'
'-x,-y,-z'
loop_
_atom_site_label
_atom_site_fract_x
_atom_site_fract_y
_atom_site_fract_z
La1 0.0000 0.0000 0.0000
Pr1 0.0000 0.5000 0.0000
Pr2 0.2214 0.9999 0.3324
Pr3 0.2793 0.2512 0.6670
Pr4 0.4999 0.2510 0.0002
Nd1 0.2196 0.4998 0.3325
Nd2 0.2790 0.7492 0.6676
```

Total magnetization, μB/f.u.: 0.00
E above lowest polymorph, meV per atom: 0
ΔH_f (0 K), eV/atom: 0.011

---

(7)
Compound: BaZrSi2S8
Source: Alexandria
Functional: PBE
Structure: optimized geometry

Geometry as CIF:
```
data_BaZrSi2S8
_chemical_formula_sum 'Ba1 Zr1 Si2 S8'
_cell_length_a 6.1140
_cell_length_b 6.1140
_cell_length_c 8.8810
_cell_angle_alpha 90.00
_cell_angle_beta 90.00
_cell_angle_gamma 120.00
_space_group_name_H-M_alt 'P -3'
_space_group_IT_number 147
loop_
_space_group_symop_operation_xyz
'x,y,z'
'-x,-y,-z'
'-y,x-y,z'
'y,-x+y,-z'
'-x+y,-x,z'
'x-y,x,-z'
loop_
_atom_site_label
_atom_site_fract_x
_atom_site_fract_y
_atom_site_fract_z
Ba1 0.0000 0.0000 0.0000
Zr1 0.0000 0.0000 0.5000
Si1 0.3333 0.6667 0.7395
S1 0.0052 0.6693 0.3234
S2 0.3333 0.6667 0.9786
```

Raw formation energy, meV/atom: -868
Total magnetization, μB/f.u.: 1.79

---

(8)
Compound: Ag7PdCl12
Source: Alexandria
Functional: PBE
Structure: optimized geometry

Geometry as CIF:
```
data_Ag7PdCl12
_chemical_formula_sum 'Ag21 Pd3 Cl36'
_cell_length_a 17.1971
_cell_length_b 17.1971
_cell_length_c 6.6197
_cell_angle_alpha 90.00
_cell_angle_beta 90.00
_cell_angle_gamma 120.00
_space_group_name_H-M_alt 'R -3'
_space_group_IT_number 148
_space_group_name_Hall '-R 3'
loop_
_atom_site_label
_atom_site_fract_x
_atom_site_fract_y
_atom_site_fract_z
Ag1 0.0000 0.0000 0.0000
Ag2 0.0599 0.7989 0.4732
Pd1 0.0000 0.0000 0.5000
Cl1 0.0069 0.4408 0.2205
Cl2 0.0112 0.8930 0.7123
```

Raw formation energy, meV/atom: -381
Total magnetization, μB/f.u.: 0.00

---

(9)
Compound: SbBrOF2
Source: Alexandria
Functional: PBE
Structure: optimized geometry

Geometry as CIF:
```
data_SbBrOF2
_chemical_formula_sum 'Sb1 Br1 O1 F2'
_cell_length_a 4.4040
_cell_length_b 4.4040
_cell_length_c 4.1792
_cell_angle_alpha 90.00
_cell_angle_beta 90.00
_cell_angle_gamma 90.00
_space_group_name_H-M_alt 'P 4/m m m'
_space_group_IT_number 123
_space_group_name_Hall '-P 4 2'
loop_
_atom_site_label
_atom_site_fract_x
_atom_site_fract_y
_atom_site_fract_z
Sb1 0.0000 0.0000 0.0000
Br1 0.5000 0.5000 0.5000
O1 0.0000 0.0000 0.5000
F1 0.0000 0.5000 0.0000
```

Raw formation energy, meV/atom: -1050
Total magnetization, μB/f.u.: 1.20
E above lowest polymorph, meV per atom: 0

---

(10)
Compound: DyTmCdNi
Source: Alexandria
Functional: PBE
Structure: optimized geometry

Geometry as CIF:
```
data_DyTmCdNi
_chemical_formula_sum 'Dy1 Tm1 Cd1 Ni1'
_cell_length_a 3.4249
_cell_length_b 3.4249
_cell_length_c 7.5859
_cell_angle_alpha 90.00
_cell_angle_beta 90.00
_cell_angle_gamma 90.00
_space_group_name_H-M_alt 'P 4 m m'
_space_group_IT_number 99
loop_
_space_group_symop_operation_xyz
'x,y,z'
'-y,x,z'
'-x,-y,z'
'y,-x,z'
'-x,y,z'
'y,x,z'
'x,-y,z'
'-y,-x,z'
loop_
_atom_site_label
_atom_site_fract_x
_atom_site_fract_y
_atom_site_fract_z
Dy1 0.0000 0.0000 0.0000
Tm1 0.0000 0.0000 0.5768
Cd1 0.5000 0.5000 0.2934
Ni1 0.5000 0.5000 0.7816
```

Total magnetization, μB/f.u.: 0.00
E above lowest polymorph, meV per atom: 0
ΔH_f (0 K), eV/atom: -0.384

---

(11)
Compound: NdHoScAg
Source: Alexandria
Functional: PBE
Structure: optimized geometry

Geometry as CIF:
```
data_NdHoScAg
_chemical_formula_sum 'Nd1 Ho1 Sc1 Ag1'
_cell_length_a 3.5645
_cell_length_b 3.5645
_cell_length_c 8.4032
_cell_angle_alpha 90.00
_cell_angle_beta 90.00
_cell_angle_gamma 90.00
_space_group_name_H-M_alt 'P 4 m m'
_space_group_IT_number 99
loop_
_space_group_symop_operation_xyz
'x,y,z'
'-y,x,z'
'-x,-y,z'
'y,-x,z'
'-x,y,z'
'y,x,z'
'x,-y,z'
'-y,-x,z'
loop_
_atom_site_label
_atom_site_fract_x
_atom_site_fract_y
_atom_site_fract_z
Nd1 0.0000 0.0000 0.0000
Ho1 0.5000 0.5000 0.6918
Sc1 0.5000 0.5000 0.2823
Ag1 0.0000 0.0000 0.4681
```

Total magnetization, μB/f.u.: 0.00
E above lowest polymorph, meV per atom: 0
ΔH_f (0 K), eV/atom: -0.106

---

(12)
Compound: Ag2Sb2As
Source: Alexandria
Functional: PBE
Structure: optimized geometry

Geometry as CIF:
```
data_Ag2Sb2As
_chemical_formula_sum 'Ag4 Sb4 As2'
_cell_length_a 7.4632
_cell_length_b 7.4632
_cell_length_c 4.0982
_cell_angle_alpha 90.00
_cell_angle_beta 90.00
_cell_angle_gamma 90.00
_space_group_name_H-M_alt 'P 4/m b m'
_space_group_IT_number 127
_space_group_name_Hall '-P 4 2ab'
loop_
_atom_site_label
_atom_site_fract_x
_atom_site_fract_y
_atom_site_fract_z
Ag1 0.1332 0.3668 0.0000
Sb1 0.1709 0.6709 0.5000
As1 0.0000 0.0000 0.0000
```

Raw formation energy, meV/atom: 295
Total magnetization, μB/f.u.: 0.00
E above lowest polymorph, meV per atom: 63